This record from Alexandria via LeMat-Bulk describes a relaxed structure of NdAl2Cu10. The functional is PBE-GGA.

Structure (extended XYZ):
```
13
Lattice="4.9781 0.0000 0.0000 2.4891 6.2044 0.0000 2.4891 0.0000 5.9543" Properties=species:S:1:pos:R:3 pbc="T T T"
Cu 2.4891 2.1794 3.8241
Cu 7.4672 4.8205 4.6134
Cu 7.4672 4.0250 2.1302
Cu 2.4891 1.3839 1.3410
Cu 4.9781 4.8205 1.3410
Cu 1.2445 0.0000 2.9772
Cu 4.9781 2.1794 2.1302
Cu 4.9781 1.3839 4.6134
Cu 3.7336 0.0000 2.9772
Cu 4.9781 4.0250 3.8241
Al 1.2445 3.1022 0.0000
Al 3.7336 3.1022 0.0000
Nd 0.0000 0.0000 0.0000
```

Results
energy of formation = -135 meV per atom
magnetization = 0.00 μB/f.u.
Fermi-level density of states = 0.3311 states/eV per atom

This record from Alexandria via LeMat-Bulk describes a relaxed structure of GaWS2. The functional is PBE-GGA.

Structure (extended XYZ):
```
4
Lattice="1.8989 0.0000 7.6019 -0.9495 1.6445 7.6019 -0.9495 -1.6445 7.6019" Properties=species:S:1:pos:R:3 pbc="T T T"
W 0.0000 0.0000 0.0000
Ga 0.0000 0.0000 11.4028
S 0.0000 0.0000 20.4917
S 0.0000 0.0000 2.3140
```

Results
E_tot = -5.844 eV/atom
magnetization = 0.00 μB/f.u.
Fermi-level density of states = 0.6309 states/eV per atom